(1)
A relaxed Sm2AlPt4 crystal, computed with GGA-PBE.

Cell lengths 4.7622, 4.7622, 7.3398 Å; angles 98.07, 98.07, 104.55 degrees
Positions (direct):
1 Sm 0.0796 0.0796 0.2722
2 Sm 0.9204 0.9204 0.7278
3 Al 0.5000 0.5000 0.0000
4 Pt 0.0000 0.5000 0.0000
5 Pt 0.3896 0.3896 0.6484
6 Pt 0.5000 0.0000 0.0000
7 Pt 0.6104 0.6104 0.3516

Summary:
Electronic total energy in eV for the cell shown: -42.7
Volume in Å³ per atom: 22.40

***

(2)
A relaxed Sm2Al5Pt3 crystal, computed with GGA-PBE.

Cell lengths 12.8373, 12.8373, 6.7977 Å; angles 90.00, 90.00, 160.48 degrees
Positions (direct):
1 Sm 0.0183 0.9817 0.5000
2 Sm 0.3252 0.6748 0.5300
3 Sm 0.6748 0.3252 0.0300
4 Sm 0.9817 0.0183 0.0000
5 Al 0.1021 0.8979 0.8516
6 Al 0.2071 0.7929 0.3428
7 Al 0.2115 0.7885 0.7431
8 Al 0.3735 0.6265 0.0072
9 Al 0.4450 0.5550 0.6733
10 Al 0.5550 0.4450 0.1733
11 Al 0.6265 0.3735 0.5072
12 Al 0.7885 0.2115 0.2431
13 Al 0.7929 0.2071 0.8428
14 Al 0.8979 0.1021 0.3516
15 Pt 0.1080 0.8920 0.2436
16 Pt 0.2735 0.7265 0.0454
17 Pt 0.4482 0.5518 0.2847
18 Pt 0.5518 0.4482 0.7847
19 Pt 0.7265 0.2735 0.5454
20 Pt 0.8920 0.1080 0.7436

Summary:
Electronic total energy in eV for the cell shown: -112.5
Volume in Å³ per atom: 18.71

***

(3)
A relaxed SmAl2Pt3 crystal, computed with GGA-PBE.

Cell lengths 8.5541, 8.5541, 10.0580 Å; angles 106.43, 106.43, 27.62 degrees
Positions (direct):
1 Sm 0.0000 0.0000 0.0000
2 Sm 0.1608 0.1608 0.7019
3 Sm 0.8392 0.8392 0.2981
4 Al 0.1965 0.1965 0.1230
5 Al 0.3607 0.3607 0.5539
6 Al 0.4658 0.4658 0.2270
7 Al 0.5342 0.5342 0.7730
8 Al 0.6393 0.6393 0.4461
9 Al 0.8035 0.8035 0.8770
10 Pt 0.0430 0.0430 0.3370
11 Pt 0.2202 0.2202 0.3886
12 Pt 0.3284 0.3284 0.0486
13 Pt 0.3830 0.3830 0.8095
14 Pt 0.5000 0.5000 0.5000
15 Pt 0.6170 0.6170 0.1905
16 Pt 0.6716 0.6716 0.9514
17 Pt 0.7798 0.7798 0.6114
18 Pt 0.9570 0.9570 0.6630

Summary:
Electronic total energy in eV for the cell shown: -110.3
Volume in Å³ per atom: 18.13

***

(4)
A relaxed Sm7Al2Pt2 crystal, computed with GGA-PBE.

Cell lengths 6.9090, 6.9090, 7.1354 Å; angles 90.00, 90.00, 107.40 degrees
Positions (direct):
1 Sm 0.0000 0.0000 0.0000
2 Sm 0.0000 0.5000 0.2622
3 Sm 0.0000 0.5000 0.7378
4 Sm 0.5000 0.0000 0.2622
5 Sm 0.5000 0.0000 0.7378
6 Sm 0.5000 0.5000 0.2576
7 Sm 0.5000 0.5000 0.7424
8 Al 0.1625 0.1625 0.5000
9 Al 0.8375 0.8375 0.5000
10 Pt 0.2906 0.7094 0.0000
11 Pt 0.7094 0.2906 0.0000

Summary:
Electronic total energy in eV for the cell shown: -57.5
Volume in Å³ per atom: 29.55

***

(5)
A relaxed SmAl2Pt5 crystal, computed with GGA-PBE.

Cell lengths 6.4649, 6.4649, 6.4649 Å; angles 144.81, 113.14, 77.86 degrees
Positions (direct):
1 Sm 0.0000 0.0000 0.0000
2 Al 0.2570 0.7570 0.5000
3 Al 0.7430 0.2430 0.5000
4 Pt 0.1562 0.3569 0.7993
5 Pt 0.4424 0.6431 0.7993
6 Pt 0.5000 0.0000 0.5000
7 Pt 0.5576 0.3569 0.2007
8 Pt 0.8438 0.6431 0.2007

Summary:
Electronic total energy in eV for the cell shown: -50.0
Volume in Å³ per atom: 17.50

***

(6)
A relaxed Sm2AlPt crystal, computed with GGA-PBE.

Cell lengths 3.6358, 3.6358, 7.2183 Å; angles 90.00, 90.00, 90.00 degrees
Positions (direct):
1 Sm 0.0000 0.0000 0.2353
2 Sm 0.0000 0.0000 0.7647
3 Al 0.5000 0.5000 0.5000
4 Pt 0.5000 0.5000 0.0000

Summary:
Distance to the lowest polymorph of the same formula in meV/atom: 0.0
Volume in Å³ per atom: 23.85

***

(7)
A relaxed SmAlPt2 crystal, computed with GGA-PBE.

Cell lengths 7.0082, 4.3167, 10.3041 Å; angles 90.00, 90.00, 90.00 degrees
Positions (direct):
1 Sm 0.2061 0.2500 0.1641
2 Sm 0.2939 0.7500 0.6641
3 Sm 0.7061 0.2500 0.3359
4 Sm 0.7939 0.7500 0.8359
5 Al 0.0530 0.7500 0.3948
6 Al 0.4470 0.2500 0.8948
7 Al 0.5530 0.7500 0.1052
8 Al 0.9470 0.2500 0.6052
9 Pt 0.0835 0.2500 0.8322
10 Pt 0.2377 0.2500 0.4587
11 Pt 0.2623 0.7500 0.9587
12 Pt 0.4165 0.7500 0.3322
13 Pt 0.5835 0.2500 0.6678
14 Pt 0.7377 0.2500 0.0413
15 Pt 0.7623 0.7500 0.5413
16 Pt 0.9165 0.7500 0.1678

Summary:
Electronic total energy in eV for the cell shown: -100.1
Volume in Å³ per atom: 19.48

***

(8)
A relaxed Sm2AlPt7 crystal, computed with GGA-PBE.

Cell lengths 3.9354, 3.9354, 12.5516 Å; angles 90.00, 90.00, 90.00 degrees
Positions (direct):
1 Sm 0.0000 0.5000 0.2345
2 Sm 0.5000 0.0000 0.7655
3 Al 0.0000 0.0000 0.5000
4 Pt 0.0000 0.0000 0.0000
5 Pt 0.0000 0.5000 0.6424
6 Pt 0.0000 0.5000 0.8475
7 Pt 0.5000 0.0000 0.1525
8 Pt 0.5000 0.0000 0.3576
9 Pt 0.5000 0.5000 0.0000
10 Pt 0.5000 0.5000 0.5000

Summary:
Electronic total energy in eV for the cell shown: -63.2
Volume in Å³ per atom: 19.44